[1]
Compound: Sm8Ho2Tm3
Source: Alexandria via LeMat-Bulk
Functional: PBE
Structure: relaxed

Computed properties:
space group: C2/m (12)
magnetic moment: 0.00 μB/f.u.
energy of formation from the pure elements: 211.3 meV/atom
calculated volume: 33.7 Å³/atom
crystal system: monoclinic

a = 5.653 Å, b = 7.679 Å, c = 10.801 Å
α = 110.82°, β = 90.02°, γ = 90.00°
Positions (direct):
Sm 0.001 0.671 0.342
Sm 0.999 0.329 0.658
Sm 0.000 0.131 0.261
Sm 0.000 0.869 0.739
Sm 0.500 0.600 0.788
Sm 0.500 0.188 0.788
Sm 0.500 0.812 0.212
Sm 0.500 0.400 0.212
Ho 0.499 0.240 0.480
Ho 0.501 0.760 0.520
Tm 0.500 0.000 0.000
Tm 0.000 0.286 0.000
Tm 0.000 0.714 0.000



[2]
Compound: Sm5Ho2Tm2
Source: Alexandria via LeMat-Bulk
Functional: PBE
Structure: relaxed

Computed properties:
space group: C2/m (12)
magnetic moment: 0.00 μB/f.u.
energy of formation from the pure elements: 19.6 meV/atom
calculated volume: 32.3 Å³/atom
crystal system: monoclinic

a = 5.052 Å, b = 9.447 Å, c = 7.995 Å
α = 53.73°, β = 71.58°, γ = 74.49°
Positions (direct):
Sm 0.334 0.001 0.332
Sm 0.666 0.999 0.668
Sm 0.222 0.665 0.890
Sm 0.778 0.335 0.110
Sm 0.000 0.000 0.000
Ho 0.109 0.335 0.446
Ho 0.891 0.665 0.554
Tm 0.445 0.336 0.773
Tm 0.555 0.664 0.227



[3]
Compound: SmHo3Tm4
Source: Alexandria via LeMat-Bulk
Functional: PBE
Structure: relaxed

Computed properties:
space group: Pmn2_1 (31)
magnetic moment: 0.00 μB/f.u.
energy of formation from the pure elements: 3.3 meV/atom
calculated volume: 31.2 Å³/atom
crystal system: orthorhombic

a = 6.224 Å, b = 7.203 Å, c = 11.144 Å
α = 90.00°, β = 90.00°, γ = 90.00°
Positions (direct):
Sm 0.148 0.373 0.000
Sm 0.648 0.627 0.500
Ho 0.647 0.626 0.000
Ho 0.981 0.627 0.250
Ho 0.481 0.373 0.250
Ho 0.147 0.374 0.500
Ho 0.481 0.373 0.750
Ho 0.981 0.627 0.750
Tm 0.147 0.877 0.000
Tm 0.649 0.123 0.000
Tm 0.981 0.123 0.251
Tm 0.481 0.877 0.249
Tm 0.149 0.877 0.500
Tm 0.647 0.123 0.500
Tm 0.481 0.877 0.751
Tm 0.981 0.123 0.749



[4]
Compound: Sm4HoTm7
Source: Alexandria via LeMat-Bulk
Functional: PBE
Structure: relaxed

Computed properties:
space group: P-1 (2)
magnetic moment: 0.00 μB/f.u.
energy of formation from the pure elements: 90.1 meV/atom
calculated volume: 31.6 Å³/atom
crystal system: triclinic

a = 6.770 Å, b = 6.500 Å, c = 11.731 Å
α = 74.95°, β = 49.64°, γ = 81.31°
Positions (direct):
Sm 0.520 0.639 0.287
Sm 0.480 0.361 0.713
Sm 0.692 0.835 0.692
Sm 0.308 0.165 0.308
Ho 0.000 0.000 0.000
Tm 0.801 0.513 0.951
Tm 0.199 0.487 0.049
Tm 0.059 0.317 0.644
Tm 0.941 0.683 0.356
Tm 0.278 0.812 0.617
Tm 0.500 0.000 0.000
Tm 0.722 0.188 0.383